Entry 1:
Entry from Alexandria via LeMat-Bulk: crystalline Ta2Pd3Se8 at its relaxed geometry (PBE-GGA).

Values from the calculation:
Crystal system   orthorhombic
E_tot   -5.793 eV/atom

Structure (POSCAR):
```
Ta2Pd3Se8
1.0
11.1802 0.0000 0.0000
0.0000 15.5915 0.0000
0.0000 0.0000 3.6105
Ta Pd Se
4 6 16
Cartesian
2.1741 1.9514 0.0000 Ta
3.4160 9.7471 0.0000 Ta
7.7642 5.8444 0.0000 Ta
9.0061 13.6401 0.0000 Ta
0.0000 0.0000 1.8053 Pd
1.6619 11.3094 1.8053 Pd
3.9282 3.5136 1.8053 Pd
5.5901 7.7957 1.8053 Pd
7.2520 12.0778 1.8053 Pd
9.5183 4.2821 1.8053 Pd
0.2998 2.4496 1.8053 Se
0.8400 9.7906 0.0000 Se
2.4711 0.0552 1.8053 Se
2.5044 4.4996 0.0000 Se
3.0857 12.2954 0.0000 Se
3.1190 7.8509 1.8053 Se
4.7501 1.9949 0.0000 Se
5.2903 10.2453 1.8053 Se
5.8898 5.3462 1.8053 Se
6.4301 13.5966 0.0000 Se
8.0612 7.7405 1.8053 Se
8.0945 3.2961 0.0000 Se
8.6758 11.0919 0.0000 Se
8.7091 15.5363 1.8053 Se
10.3402 5.8008 0.0000 Se
10.8804 13.1419 1.8053 Se
```

Entry 2:
Entry from Alexandria via LeMat-Bulk: crystalline Ta2PdSe4 at its relaxed geometry (PBE-GGA).

Values from the calculation:
Crystal system   tetragonal
E_tot   -6.624 eV/atom
Fermi-level density of states   8.19 states/eV/cell

Structure (POSCAR):
```
Ta2PdSe4
1.0
-3.8081 3.8081 5.3690
3.8081 -3.8081 5.3690
3.8081 3.8081 -5.3690
Ta Pd Se
4 2 8
Cartesian
0.0000 0.0000 0.0000 Ta
1.9040 1.9040 -2.6845 Ta
1.9040 -1.9040 2.6845 Ta
0.0000 3.8081 0.0000 Ta
3.8081 1.9040 1.3422 Pd
0.0000 1.9040 4.0267 Pd
3.8081 3.7178 -2.7447 Se
1.8138 1.9040 -0.0602 Se
1.9943 -1.9040 5.3088 Se
3.8081 -0.0903 2.7447 Se
0.0000 3.8984 2.6243 Se
1.8138 5.7121 0.0602 Se
1.9943 1.9040 5.4292 Se
0.0000 0.0903 8.1137 Se
```

Entry 3:
Entry from Alexandria via LeMat-Bulk: crystalline TaTe2PdSe at its relaxed geometry (PBE-GGA).

Values from the calculation:
Crystal system   tetragonal
E_tot   -4.249 eV/atom
Fermi-level density of states   4.56 states/eV/cell

Structure (POSCAR):
```
TaTe2PdSe
1.0
5.4648 0.0000 0.0000
0.0000 5.4648 0.0000
0.0000 0.0000 4.7130
Ta Te Pd Se
1 2 1 1
Cartesian
0.0000 0.0000 0.0000 Ta
0.0000 2.7324 2.3565 Te
2.7324 0.0000 2.3565 Te
2.7324 2.7324 0.0000 Pd
0.0000 0.0000 2.3565 Se
```

Entry 4:
Entry from Alexandria via LeMat-Bulk: crystalline Ta3TlPd4Se12 at its relaxed geometry (PBE-GGA).

Values from the calculation:
Crystal system   trigonal
E_tot   -5.306 eV/atom
Fermi-level density of states   12.47 states/eV/cell

Structure (POSCAR):
```
Ta3TlPd4Se12
1.0
7.4855 4.3218 2.7658
-7.4855 4.3218 2.7658
0.0000 -8.6436 2.7658
Ta Tl Pd Se
3 1 4 12
Cartesian
-4.1608 -1.4368 2.7658 Ta
3.3247 -2.8849 2.7658 Ta
0.8361 4.3218 2.7658 Ta
0.0000 0.0000 0.0000 Tl
-3.3378 -5.7812 4.1487 Pd
0.0000 0.0000 4.1487 Pd
-3.3378 5.7812 4.1487 Pd
6.6755 0.0000 4.1487 Pd
-5.8812 0.0000 4.1487 Se
-3.9304 -3.2150 4.4545 Se
-0.8191 -5.0113 3.8430 Se
-3.9304 3.2150 3.8430 Se
-2.4676 0.0000 4.1487 Se
2.9406 -5.0933 4.1487 Se
1.2338 -2.1370 4.1487 Se
1.2338 2.1370 4.1487 Se
-0.8191 5.0113 4.4545 Se
4.7495 -1.7963 4.4545 Se
4.7495 1.7963 3.8430 Se
2.9406 5.0933 4.1487 Se
```

> Among the records above, which one has the lowest E_tot?

Ta2PdSe4